Record 1
First-principles (PBE-GGA) data for a relaxed Te3MoCl16 crystal, as listed in Alexandria.

For the magnetization, the calculation gives 2.000 μB per formula unit. The value obtained for the formation energy from raw total energies is -0.662 eV/atom. Its volume is 35.76 A^3/atom.

Unit cell a=10.6665 b=10.6665 c=12.8655 alpha=90.00 beta=90.00 gamma=102.26
Site moments in Bohr magnetons follow the coordinates.
Positions (direct):
Mo 0.3331 0.3331 0.4819  1.62
Cl 0.0171 0.0171 0.6066  0.00
Cl 0.8768 0.4311 0.3655  0.00
Cl 0.6051 0.8804 0.6010  0.00
Cl 0.7201 0.2522 0.0927  0.00
Cl 0.8804 0.6051 0.6010  0.00
Cl 0.2039 0.2039 0.3671  0.02
Cl 0.6827 0.6827 0.3801  0.00
Cl 0.4311 0.8768 0.3655  0.00
Cl 0.4810 0.4810 0.6009  -0.01
Te 0.7311 0.4635 0.4948  0.00
Mo 0.6669 0.6669 0.9819  1.62
Cl 0.3173 0.3173 0.8801  0.00
Cl 0.1581 0.3612 0.5912  0.01
Cl 0.6871 0.4778 0.8830  0.02
Cl 0.3612 0.1581 0.5912  0.01
Cl 0.1835 0.9679 0.8268  0.01
Te 0.5365 0.2689 0.9948  0.00
Cl 0.5222 0.3129 0.3830  0.02
Cl 0.7478 0.2799 0.5927  0.00
Cl 0.4778 0.6871 0.8830  0.02
Cl 0.2522 0.7201 0.0927  0.00
Cl 0.8419 0.6388 0.0912  0.01
Te 0.1467 0.1467 0.7304  0.01
Cl 0.7961 0.7961 0.8671  0.02
Cl 0.9679 0.1835 0.8268  0.01
Cl 0.6388 0.8419 0.0912  0.01
Cl 0.1196 0.3949 0.1010  0.00
Cl 0.1232 0.5689 0.8655  0.00
Te 0.4635 0.7311 0.4948  0.00
Cl 0.5689 0.1232 0.8655  0.00
Cl 0.3949 0.1196 0.1010  0.00
Te 0.2689 0.5365 0.9948  0.00
Te 0.8533 0.8533 0.2304  0.01
Cl 0.3129 0.5222 0.3830  0.02
Cl 0.8165 0.0321 0.3268  0.01
Cl 0.2799 0.7478 0.5927  0.00
Cl 0.5190 0.5190 0.1009  -0.01
Cl 0.0321 0.8165 0.3268  0.01
Cl 0.9829 0.9829 0.1066  0.00

***

Record 2
First-principles (PBE-GGA) data for a relaxed LaTb2Ho2Er2 crystal, as listed in Alexandria.

For the magnetization, the calculation gives 0.000 μB per formula unit. The formation energy from the elements comes out at 0.0288 eV/atom. Its volume is 32.07 A^3/atom.

Unit cell a=6.1844 b=6.1740 c=9.4306 alpha=70.91 beta=83.74 gamma=131.83
Positions (direct):
La 0.0000 0.0000 0.5000
Tb 0.2892 0.5747 0.0680
Tb 0.7108 0.4253 0.9320
Er 0.1395 0.2852 0.7876
Ho 0.4311 0.8602 0.3546
Ho 0.5689 0.1398 0.6454
Er 0.8605 0.7148 0.2124

***

Record 3
First-principles (PBE-GGA) data for a relaxed Pm3Pr3PuSe8 crystal, as listed in Alexandria.

For the magnetization, the calculation gives 6.248 μB per formula unit. The value obtained for the formation energy from raw total energies is -1.826 eV/atom. Its volume is 28.27 A^3/atom.

Unit cell a=8.4198 b=8.4197 c=8.4464 alpha=119.89 beta=90.00 gamma=120.00
Site moments in Bohr magnetons follow the coordinates.
Positions (direct):
Se 0.2532 0.0037 0.2542  -0.02
Se 0.7505 0.0037 0.2542  -0.02
Se 0.7468 0.9963 0.7458  -0.02
Pr 0.0000 0.5000 0.0000  0.05
Pm 0.5000 0.5000 0.5000  0.05
Se 0.2495 0.9963 0.7458  -0.02
Pr 0.5000 0.5000 0.0000  0.05
Pu 0.0000 0.0000 0.5000  5.42
Se 0.7505 0.5010 0.2542  -0.02
Pm 0.0000 0.5000 0.5000  0.05
Se 0.2495 0.4990 0.7458  -0.02
Se 0.7481 0.4963 0.7444  0.00
Pr 0.0000 0.0000 0.0000  0.05
Se 0.2519 0.5037 0.2556  0.00
Pm 0.5000 0.0000 0.5000  0.05

***

Record 4
First-principles (PBE-GGA) data for a relaxed CsRb2Pb3O8 crystal, as listed in Alexandria.

For the magnetization, the calculation gives 1.048 μB per formula unit. The value obtained for the formation energy from raw total energies is -0.992 eV/atom. Its volume is 20.49 A^3/atom.

Unit cell a=6.9021 b=6.9021 c=8.0129 alpha=64.49 beta=64.49 gamma=60.00
Site moments in Bohr magnetons follow the coordinates.
Positions (direct):
Pb 0.0016 0.4997 0.9989  -0.01
O 0.7553 0.7553 0.1672  0.18
Pb 0.4997 0.4997 0.9989  -0.01
O 0.7246 0.7246 0.8261  0.00
O 0.2407 0.6842 0.8344  0.12
O 0.6842 0.2407 0.8344  0.12
Cs 0.8672 0.8672 0.3983  0.01
Pb 0.4997 0.0016 0.9989  -0.01
O 0.2407 0.2407 0.8344  0.12
Rb 0.4990 0.4990 0.5029  0.00
O 0.3221 0.7553 0.1672  0.18
O 0.7553 0.3221 0.1672  0.18
Rb 0.1281 0.1281 0.6158  0.00
O 0.2742 0.2742 0.1774  -0.01

***

Record 5
First-principles (PBE-GGA) data for a relaxed TiRu3N crystal, as listed in Alexandria.

For the magnetization, the calculation gives 5.149 μB per formula unit. The value obtained for the formation energy from raw total energies is 2.424 eV/atom. The excess energy over the best structure of this formula in the dataset comes out at 2570 meV per atom. Its volume is 18.62 A^3/atom.

Unit cell a=4.5321 b=4.5321 c=4.5321 alpha=90.00 beta=90.00 gamma=90.00
Site moments in Bohr magnetons follow the coordinates.
Positions (direct):
Ti 0.0000 0.0000 0.0000  -0.34
N 0.5000 0.5000 0.5000  0.74
Ru 0.5000 0.0000 0.0000  1.42
Ru 0.0000 0.0000 0.5000  1.37
Ru 0.0000 0.5000 0.0000  1.60

***

Record 6
First-principles (PBE-GGA) data for a relaxed Zn2CuPdPt5 crystal, as listed in Alexandria.

For the magnetization, the calculation gives 0.000 μB per formula unit. The formation energy from the elements comes out at 0.0943 eV/atom. Its volume is 15.93 A^3/atom.

Unit cell a=6.2599 b=6.2599 c=8.5525 alpha=111.47 beta=111.47 gamma=90.00
Positions (direct):
Pt 0.4085 0.3821 0.2907
Pd 0.2500 0.7500 0.5000
Cu 0.2500 0.2500 0.5000
Pt 0.0915 0.5915 0.7093
Pt 0.5000 0.5000 0.0000
Pt 0.1179 0.0915 0.7093
Pt 0.9085 0.4085 0.2907
Zn 0.1290 0.3710 0.0000
Zn 0.3710 0.8710 0.0000
Zn 0.6290 0.1290 0.0000
Pt 0.6179 0.1179 0.7093
Pd 0.7500 0.2500 0.5000
Pt 0.5915 0.6179 0.7093
Pt 0.8821 0.9085 0.2907
Pt 0.3821 0.8821 0.2907
Cu 0.7500 0.7500 0.5000
Pt 0.0000 0.0000 0.0000
Zn 0.8710 0.6290 0.0000

***

Record 7
First-principles (PBE-GGA) data for a relaxed CsH2BrF crystal, as listed in Alexandria.

For the magnetization, the calculation gives 0.146 μB per formula unit. The excess energy over the best structure of this formula in the dataset comes out at 14 meV per atom. Its volume is 23.00 A^3/atom.

Unit cell a=4.5007 b=5.2830 c=5.3266 alpha=88.75 beta=65.26 gamma=89.77
Site moments in Bohr magnetons follow the coordinates.
Positions (direct):
Br 0.3571 0.6807 0.6618  0.05
Cs 0.6685 0.1377 0.0382  0.00
H 0.8669 0.6648 0.6424  0.03
F 0.9911 0.3061 0.3949  0.01
H 0.9393 0.4774 0.4981  0.01

***

Record 8
First-principles (PBE-GGA) data for a relaxed NdGe2Pd7 crystal, as listed in Alexandria.

For the magnetization, the calculation gives 0.000 μB per formula unit. The formation energy from the elements comes out at -0.3140 eV/atom. The excess energy over the best structure of this formula in the dataset comes out at 282 meV per atom. Its volume is 20.47 A^3/atom.

Unit cell a=4.5773 b=7.0989 c=7.0989 alpha=117.45 beta=90.00 gamma=90.00
Positions (direct):
Ge 0.5000 0.3023 0.6977
Pd 0.0000 0.2365 0.7635
Nd 0.0000 0.0000 0.0000
Pd 0.5000 0.6872 0.9368
Pd 0.5000 0.5000 0.5000
Pd 0.5000 0.0632 0.3128
Ge 0.5000 0.6977 0.3023
Pd 0.5000 0.3128 0.0632
Pd 0.0000 0.7635 0.2365
Pd 0.5000 0.9368 0.6872